No. 1
The following is a PBE calculation of a geometry-optimized InGe2Sb2 structure, from Alexandria.

Calculated values
The calculation puts the total energy at -3.84 eV/atom. The formation energy (no corrections) comes out at 0.205 eV/atom. Its energy above the most stable polymorph in this dataset is 41 meV/atom. For the density of states at the Fermi level, the calculation gives 0.307 states/eV per atom.

Lattice parameters (Å, degrees): 4.4002 4.4002 7.8701 73.77 73.77 90.00
Positions (direct):
Sb1 0.6189 0.6189 0.7622
Sb2 0.3811 0.3811 0.2378
Ge1 0.2500 0.7500 0.5000
In1 0.0000 0.0000 0.0000
Ge2 0.7500 0.2500 0.5000

No. 2
The following is a PBE calculation of a geometry-optimized Sc2InGeSb structure, from Alexandria.

Calculated values
The calculation puts the total energy at -4.93 eV/atom. The formation energy (no corrections) comes out at -0.098 eV/atom. For the density of states at the Fermi level, the calculation gives 0.976 states/eV per atom.

Lattice parameters (Å, degrees): 5.1600 5.0790 5.1600 90.00 90.00 90.00
Positions (direct):
Sc1 0.5000 0.0000 0.0000
Ge1 0.0000 0.0000 0.0000
Sc2 0.0000 0.0000 0.5000
In1 0.0000 0.5000 0.0000
Sb1 0.5000 0.5000 0.5000

No. 3
The following is a PBE calculation of a geometry-optimized InGeSb2Te structure, from Alexandria.

Calculated values
The calculation puts the total energy at -2.90 eV/atom. The formation energy (no corrections) comes out at 0.845 eV/atom. Its energy above the most stable polymorph in this dataset is 402 meV/atom. For the density of states at the Fermi level, the calculation gives 1.060 states/eV per atom.

Lattice parameters (Å, degrees): 5.6093 5.6093 5.7309 90.00 90.00 90.00
Positions (direct):
In1 0.0000 0.0000 0.0000
Ge1 0.5000 0.5000 0.5000
Sb1 0.0000 0.5000 0.0000
Sb2 0.5000 0.0000 0.0000
Te1 0.0000 0.0000 0.5000

No. 4
The following is a PBE calculation of a geometry-optimized InGeSbTe2 structure, from Alexandria.

Calculated values
The calculation puts the total energy at -2.82 eV/atom. The formation energy (no corrections) comes out at 0.734 eV/atom. Its energy above the most stable polymorph in this dataset is 389 meV/atom. For the density of states at the Fermi level, the calculation gives 1.044 states/eV per atom.

Lattice parameters (Å, degrees): 5.6358 5.6358 5.5823 90.00 90.00 90.00
Positions (direct):
Ge1 0.5000 0.5000 0.5000
Sb1 0.0000 0.0000 0.5000
Te1 0.0000 0.5000 0.0000
Te2 0.5000 0.0000 0.0000
In1 0.0000 0.0000 0.0000

No. 5
The following is a PBE calculation of a geometry-optimized InGeSbTe2 structure, from Alexandria.

Calculated values
The calculation puts the total energy at -3.21 eV/atom. The formation energy (no corrections) comes out at 0.345 eV/atom. Its energy above the most stable polymorph in this dataset is 0 meV/atom. For the density of states at the Fermi level, the calculation gives 0.913 states/eV per atom.

Lattice parameters (Å, degrees): 5.4947 5.4947 5.4178 90.00 90.00 90.00
Positions (direct):
Te1 0.5000 0.0000 0.0000
Sb1 0.0000 0.0000 0.5000
In1 0.5000 0.5000 0.5000
Te2 0.0000 0.5000 0.0000
Ge1 0.0000 0.0000 0.0000

No. 6
The following is a PBE calculation of a geometry-optimized In4GeSb2Te structure, from Alexandria.

Calculated values
The calculation puts the total energy at -3.50 eV/atom. The formation energy (no corrections) comes out at -0.130 eV/atom. For the density of states at the Fermi level, the calculation gives 0.060 states/eV per atom.

Lattice parameters (Å, degrees): 8.0342 8.0342 8.0342 131.87 131.87 70.43
Positions (direct):
Sb1 0.7500 0.2500 0.5000
Sb2 0.2500 0.7500 0.5000
In1 0.8517 0.8517 0.4579
Te1 0.0000 0.0000 0.0000
In2 0.1483 0.6062 0.0000
In3 0.6062 0.1483 0.0000
Ge1 0.5000 0.5000 0.0000
In4 0.3938 0.3938 0.5421

No. 7
The following is a PBE calculation of a geometry-optimized InGeSb2Te structure, from Alexandria.

Calculated values
The calculation puts the total energy at -3.30 eV/atom. The formation energy (no corrections) comes out at 0.444 eV/atom. Its energy above the most stable polymorph in this dataset is 0 meV/atom. For the density of states at the Fermi level, the calculation gives 0.933 states/eV per atom.

Lattice parameters (Å, degrees): 5.4116 5.4116 5.4975 90.00 90.00 90.00
Positions (direct):
Sb1 0.5000 0.0000 0.0000
Te1 0.0000 0.0000 0.5000
In1 0.5000 0.5000 0.5000
Sb2 0.0000 0.5000 0.0000
Ge1 0.0000 0.0000 0.0000

No. 8
The following is a PBE calculation of a geometry-optimized InGe2SbTe5 structure, from Alexandria.

Calculated values
The calculation puts the total energy at -3.66 eV/atom. The formation energy (no corrections) comes out at -0.127 eV/atom. For the density of states at the Fermi level, the calculation gives 0.276 states/eV per atom.

Lattice parameters (Å, degrees): 4.2624 4.2624 17.5329 90.00 90.00 120.00
Positions (direct):
Ge1 0.0000 0.0000 0.6641
Te1 0.6667 0.3333 0.2072
Te2 0.3333 0.6667 0.7884
Te3 0.0000 0.0000 0.0037
Te4 0.3333 0.6667 0.4151
In1 0.3333 0.6667 0.1159
Te5 0.6667 0.3333 0.5829
Ge2 0.0000 0.0000 0.3338
Sb1 0.6667 0.3333 0.8888

No. 9
The following is a PBE calculation of a geometry-optimized ZrInGe2Sb structure, from Alexandria.

Calculated values
The calculation puts the total energy at -4.67 eV/atom. The formation energy (no corrections) comes out at 0.258 eV/atom. For the density of states at the Fermi level, the calculation gives 0.576 states/eV per atom.

Lattice parameters (Å, degrees): 5.2552 5.5506 5.2552 90.00 90.00 90.00
Positions (direct):
In1 0.5000 0.5000 0.5000
Sb1 0.0000 0.5000 0.0000
Ge1 0.0000 0.0000 0.5000
Ge2 0.5000 0.0000 0.0000
Zr1 0.0000 0.0000 0.0000

No. 10
The following is a PBE calculation of a geometry-optimized ZrIn2GeSb structure, from Alexandria.

Calculated values
The calculation puts the total energy at -4.19 eV/atom. The formation energy (no corrections) comes out at 0.363 eV/atom. For the density of states at the Fermi level, the calculation gives 0.868 states/eV per atom.

Lattice parameters (Å, degrees): 5.1875 5.2699 5.1875 90.00 90.00 90.00
Positions (direct):
In1 0.5000 0.0000 0.0000
Zr1 0.0000 0.5000 0.0000
Sb1 0.5000 0.5000 0.5000
Ge1 0.0000 0.0000 0.0000
In2 0.0000 0.0000 0.5000

No. 11
The following is a PBE calculation of a geometry-optimized Sc2InGe structure, from Alexandria.

Calculated values
Its formation energy is -0.486 eV/atom. The calculation puts the total energy at -5.49 eV/atom. For the density of states at the Fermi level, the calculation gives 0.876 states/eV per atom.

Lattice parameters (Å, degrees): 4.0741 4.5164 4.5164 90.00 90.00 90.00
Positions (direct):
In1 0.5000 0.5000 0.5000
Ge1 0.5000 0.0000 0.0000
Sc1 0.0000 0.0000 0.5000
Sc2 0.0000 0.5000 0.0000

No. 12
The following is a PBE calculation of a geometry-optimized ScInGe2 structure, from Alexandria.

Calculated values
Its formation energy is 0.221 eV/atom. The calculation puts the total energy at -4.36 eV/atom. For the density of states at the Fermi level, the calculation gives 0.906 states/eV per atom.

Lattice parameters (Å, degrees): 4.4435 4.4435 7.6757 73.17 73.17 60.00
Positions (direct):
Sc1 0.5000 0.5000 0.5000
In1 0.0000 0.0000 0.0000
Ge1 0.1222 0.1222 0.6335
Ge2 0.8778 0.8778 0.3665

No. 13
The following is a PBE calculation of a geometry-optimized ScInGe3 structure, from Alexandria.

Calculated values
Its formation energy is 0.366 eV/atom. The calculation puts the total energy at -4.22 eV/atom. Its energy above the most stable polymorph in this dataset is 0 meV/atom. For the density of states at the Fermi level, the calculation gives 0.523 states/eV per atom.

Lattice parameters (Å, degrees): 5.1673 5.1673 5.1673 90.00 90.00 90.00
Positions (direct):
Ge1 0.0000 0.0000 0.5000
Ge2 0.0000 0.5000 0.0000
Sc1 0.0000 0.0000 0.0000
In1 0.5000 0.5000 0.5000
Ge3 0.5000 0.0000 0.0000

No. 14
The following is a PBE calculation of a geometry-optimized ScInGe structure, from Alexandria.

Calculated values
Its formation energy is -0.237 eV/atom. The calculation puts the total energy at -4.80 eV/atom. Its energy above the most stable polymorph in this dataset is 113 meV/atom. For the density of states at the Fermi level, the calculation gives 0.365 states/eV per atom.

Lattice parameters (Å, degrees): 4.3979 4.3979 8.6350 75.25 75.25 60.00
Positions (direct):
Ge1 0.8495 0.8495 0.4516
Sc1 0.5659 0.5659 0.3023
Sc2 0.4341 0.4341 0.6977
In1 0.6948 0.6948 0.9155
In2 0.3052 0.3052 0.0845
Ge2 0.1505 0.1505 0.5484

No. 15
The following is a PBE calculation of a geometry-optimized ScInGe structure, from Alexandria.

Calculated values
Its formation energy is -0.350 eV/atom. The calculation puts the total energy at -4.91 eV/atom. Its energy above the most stable polymorph in this dataset is 0 meV/atom. For the density of states at the Fermi level, the calculation gives 0.731 states/eV per atom.

Lattice parameters (Å, degrees): 7.3391 7.3391 8.3747 90.00 90.00 120.00
Positions (direct):
Ge1 0.3333 0.6667 0.9990
In1 0.5885 0.0010 0.7500
Sc1 0.2664 0.0000 0.0000
In2 0.0010 0.5885 0.2500
Ge2 0.0000 0.0000 0.7500
Sc2 0.0000 0.2664 0.0000
In3 0.9990 0.5875 0.7500
Ge3 0.3333 0.6667 0.5010
Sc3 0.7336 0.7336 0.5000
In4 0.5875 0.9990 0.2500
In5 0.4125 0.4115 0.7500
Ge4 0.6667 0.3333 0.0010
Sc4 0.7336 0.7336 0.0000
Sc5 0.0000 0.2664 0.5000
Ge5 0.6667 0.3333 0.4990
In6 0.4115 0.4125 0.2500
Ge6 0.0000 0.0000 0.2500
Sc6 0.2664 0.0000 0.5000

No. 16
The following is a PBE calculation of a geometry-optimized Sc2InGe structure, from Alexandria.

Calculated values
Its formation energy is -0.240 eV/atom. The calculation puts the total energy at -5.24 eV/atom. For the density of states at the Fermi level, the calculation gives 0.447 states/eV per atom.

Lattice parameters (Å, degrees): 7.6576 7.6576 6.2667 52.34 52.34 90.00
Positions (direct):
Ge1 0.5000 0.5000 0.0000
Sc1 0.1534 0.6250 0.2500
In1 0.7500 0.2500 0.5000
Ge2 0.2500 0.7500 0.5000
In2 0.0000 0.0000 0.0000
Sc2 0.3750 0.4034 0.7500
Sc3 0.8750 0.8466 0.7500
Sc4 0.5966 0.1250 0.2500

No. 17
The following is a PBE calculation of a geometry-optimized Sc2InGe structure, from Alexandria.

Calculated values
Its formation energy is -0.486 eV/atom. The calculation puts the total energy at -5.49 eV/atom. For the density of states at the Fermi level, the calculation gives 1.178 states/eV per atom.

Lattice parameters (Å, degrees): 3.5998 3.5998 6.4576 90.00 90.00 90.00
Each line ends with the local moment (μB).
Positions (direct):
Ge1 0.5000 0.5000 0.0000  0.02
Sc1 0.0000 0.0000 0.7741  0.18
Sc2 0.0000 0.0000 0.2259  0.18
In1 0.5000 0.5000 0.5000  0.00

No. 18
The following is a PBE calculation of a geometry-optimized ScInGe3 structure, from Alexandria.

Calculated values
Its formation energy is 0.747 eV/atom. The calculation puts the total energy at -3.84 eV/atom. Its energy above the most stable polymorph in this dataset is 380 meV/atom. For the density of states at the Fermi level, the calculation gives 0.928 states/eV per atom.

Lattice parameters (Å, degrees): 5.1603 5.1603 5.1603 90.00 90.00 90.00
Positions (direct):
Ge1 0.0000 0.0000 0.5000
Sc1 0.5000 0.5000 0.5000
Ge2 0.0000 0.5000 0.0000
Ge3 0.5000 0.0000 0.0000
In1 0.0000 0.0000 0.0000

No. 19
The following is a PBE calculation of a geometry-optimized Sc4InGe structure, from Alexandria.

Calculated values
Its formation energy is -0.292 eV/atom. The calculation puts the total energy at -5.74 eV/atom. For the density of states at the Fermi level, the calculation gives 1.418 states/eV per atom.

Lattice parameters (Å, degrees): 5.8167 6.4451 8.3251 102.44 110.46 90.02
Positions (direct):
Sc1 0.6946 0.4474 0.1624
In1 0.9008 0.7501 0.0000
Sc2 0.3054 0.5526 0.8376
Sc3 0.9539 0.8927 0.6654
In2 0.0992 0.2499 0.0000
Sc4 0.7117 0.3927 0.6655
Ge1 0.5000 0.0000 0.5000
Sc5 0.2883 0.6073 0.3345
Sc6 0.0461 0.1073 0.3346
Sc7 0.4677 0.9472 0.1624
Ge2 0.0000 0.5000 0.5000
Sc8 0.5323 0.0528 0.8376

No. 20
The following is a PBE calculation of a geometry-optimized ScIn3Ge structure, from Alexandria.

Calculated values
Its formation energy is 0.467 eV/atom. The calculation puts the total energy at -3.37 eV/atom. Its energy above the most stable polymorph in this dataset is 0 meV/atom. For the density of states at the Fermi level, the calculation gives 0.911 states/eV per atom.

Lattice parameters (Å, degrees): 5.2940 5.2940 5.2940 90.00 90.00 90.00
Positions (direct):
Sc1 0.5000 0.5000 0.5000
In1 0.0000 0.0000 0.5000
In2 0.0000 0.5000 0.0000
In3 0.5000 0.0000 0.0000
Ge1 0.0000 0.0000 0.0000